Entry from the Alexandria database: crystalline MgZn2SbN at its relaxed geometry (PBE).

a = 4.339 Å, b = 4.339 Å, c = 4.294 Å
α = 90.00°, β = 90.00°, γ = 90.00°
Sites, in units of the cell vectors:
Zn (0.500, 0.000, 0.000)
Zn (0.000, 0.500, 0.000)
Sb (0.500, 0.500, 0.500)
N (0.000, 0.000, 0.000)
Mg (0.000, 0.000, 0.500)

Computed properties:
As for the total energy: -16.7 eV/f.u. The value obtained for the density of states at the Fermi level is 0.8 states/eV/cell. As for the formation energy (no corrections): -0.025 eV/atom.